Entry 1:
{
  "formula": "DySc2Tl",
  "functional": "PBE-GGA",
  "state": "optimized geometry",
  "relative_energy_ev_per_atom": 0.046,
  "ef_ev_per_atom": -0.13,
  "dos_ef_per_ev_atom": 1.076,
  "total_magnetization_mub_per_cell": 0.00,
  "space_group": "P4/mmm, No. 123",
  "lattice": [[3.460, 0.000, 0.000], [0.000, 3.460, 0.000], [0.000, 0.000, 8.600]],
  "species": ["Dy", "Sc", "Sc", "Tl"],
  "fractional_positions": [[0.000, 0.000, 0.000], [0.500, 0.500, 0.272], [0.500, 0.500, 0.728], [0.000, 0.000, 0.500]]
}

---

Entry 2:
{
  "formula": "Dy15Sc4Tl",
  "functional": "PBE-GGA",
  "state": "optimized geometry",
  "ef_ev_per_atom": -0.01,
  "dos_ef_per_ev_atom": 1.331,
  "total_magnetization_mub_per_cell": 0.00,
  "space_group": "P4/mmm, No. 123",
  "lattice": [[4.877, 0.000, 0.000], [0.000, 4.877, 0.000], [0.000, 0.000, 24.723]],
  "species": ["Dy", "Dy", "Dy", "Dy", "Dy", "Dy", "Dy", "Dy", "Dy", "Dy", "Dy", "Dy", "Dy", "Dy", "Dy", "Sc", "Sc", "Sc", "Sc", "Tl"],
  "fractional_positions": [[0.000, 0.000, 0.000], [0.000, 0.000, 0.199], [0.000, 0.000, 0.399], [0.000, 0.000, 0.601], [0.000, 0.000, 0.801], [0.000, 0.500, 0.100], [0.000, 0.500, 0.300], [0.000, 0.500, 0.500], [0.000, 0.500, 0.700], [0.000, 0.500, 0.900], [0.500, 0.000, 0.100], [0.500, 0.000, 0.300], [0.500, 0.000, 0.500], [0.500, 0.000, 0.700], [0.500, 0.000, 0.900], [0.500, 0.500, 0.200], [0.500, 0.500, 0.400], [0.500, 0.500, 0.600], [0.500, 0.500, 0.800], [0.500, 0.500, 0.000]]
}

---

Entry 3:
{
  "formula": "Dy2Sc3Tl4",
  "functional": "PBE-GGA",
  "state": "optimized geometry",
  "relative_energy_ev_per_atom": 0.056,
  "ef_ev_per_atom": -0.21,
  "dos_ef_per_ev_atom": 0.846,
  "total_magnetization_mub_per_cell": 0.00,
  "space_group": "Cmce, No. 64",
  "lattice": [[3.389, -8.020, 0.000], [3.389, 8.020, 0.000], [0.000, 0.000, 8.740]],
  "species": ["Dy", "Dy", "Dy", "Dy", "Sc", "Sc", "Sc", "Sc", "Sc", "Sc", "Tl", "Tl", "Tl", "Tl", "Tl", "Tl", "Tl", "Tl"],
  "fractional_positions": [[0.113, 0.887, 0.922], [0.387, 0.613, 0.422], [0.613, 0.387, 0.578], [0.887, 0.113, 0.078], [0.000, 0.000, 0.500], [0.037, 0.463, 0.750], [0.463, 0.037, 0.250], [0.500, 0.500, 0.000], [0.537, 0.963, 0.750], [0.963, 0.537, 0.250], [0.186, 0.814, 0.546], [0.218, 0.282, 0.750], [0.282, 0.218, 0.250], [0.314, 0.686, 0.046], [0.686, 0.314, 0.954], [0.718, 0.782, 0.750], [0.782, 0.718, 0.250], [0.814, 0.186, 0.454]]
}

---

Entry 4:
{
  "formula": "DyScTl2",
  "functional": "PBE-GGA",
  "state": "optimized geometry",
  "ef_ev_per_atom": -0.19,
  "dos_ef_per_ev_atom": 1.106,
  "total_magnetization_mub_per_cell": 0.12,
  "space_group": "R3m, No. 160",
  "lattice": [[1.793, 1.035, 9.679], [-1.793, 1.035, 9.679], [0.000, -2.070, 9.679]],
  "species": ["Dy", "Sc", "Tl", "Tl"],
  "fractional_positions": [[0.000, 0.000, 0.000], [0.169, 0.169, 0.169], [0.581, 0.581, 0.581], [0.755, 0.755, 0.755]]
}

---

Entry 5:
{
  "formula": "Dy4ScTl3",
  "functional": "PBE-GGA",
  "state": "optimized geometry",
  "ef_ev_per_atom": -0.22,
  "dos_ef_per_ev_atom": 0.981,
  "total_magnetization_mub_per_cell": 2.10,
  "space_group": "I4/mmm, No. 139",
  "lattice": [[-2.486, 2.486, 8.830], [2.486, -2.486, 8.830], [2.486, 2.486, -8.830]],
  "species": ["Dy", "Dy", "Dy", "Dy", "Sc", "Tl", "Tl", "Tl"],
  "fractional_positions": [[0.129, 0.629, 0.500], [0.371, 0.871, 0.500], [0.629, 0.129, 0.500], [0.871, 0.371, 0.500], [0.000, 0.000, 0.000], [0.251, 0.251, 0.000], [0.500, 0.500, 0.000], [0.749, 0.749, 0.000]]
}

---

Entry 6:
{
  "formula": "Dy2ScTl",
  "functional": "PBE-GGA",
  "state": "optimized geometry",
  "relative_energy_ev_per_atom": 0.079,
  "ef_ev_per_atom": -0.11,
  "dos_ef_per_ev_atom": 1.426,
  "total_magnetization_mub_per_cell": 0.00,
  "space_group": "P4/mmm, No. 123",
  "lattice": [[5.347, 0.000, 0.000], [0.000, 5.347, 0.000], [0.000, 0.000, 3.844]],
  "species": ["Dy", "Dy", "Sc", "Tl"],
  "fractional_positions": [[0.000, 0.500, 0.000], [0.500, 0.000, 0.000], [0.000, 0.000, 0.500], [0.500, 0.500, 0.500]]
}

---

Entry 7:
{
  "formula": "DyTmScTl",
  "functional": "PBE-GGA",
  "state": "optimized geometry",
  "relative_energy_ev_per_atom": 0.127,
  "ef_ev_per_atom": -0.04,
  "dos_ef_per_ev_atom": 1.473,
  "total_magnetization_mub_per_cell": 1.31,
  "space_group": "F-43m, No. 216",
  "lattice": [[0.000, 3.773, 3.773], [3.773, 0.000, 3.773], [3.773, 3.773, 0.000]],
  "species": ["Dy", "Tm", "Sc", "Tl"],
  "fractional_positions": [[0.000, 0.000, 0.000], [0.500, 0.500, 0.500], [0.250, 0.250, 0.250], [0.750, 0.750, 0.750]]
}

---

Entry 8:
{
  "formula": "Dy2TmScTl4",
  "functional": "PBE-GGA",
  "state": "optimized geometry",
  "ef_ev_per_atom": -0.30,
  "dos_ef_per_ev_atom": 0.850,
  "total_magnetization_mub_per_cell": 0.00,
  "space_group": "R-3m, No. 166",
  "lattice": [[2.643, 1.526, 8.660], [-2.643, 1.526, 8.660], [0.000, -3.052, 8.660]],
  "species": ["Dy", "Dy", "Tm", "Sc", "Tl", "Tl", "Tl", "Tl"],
  "fractional_positions": [[0.249, 0.249, 0.249], [0.751, 0.751, 0.751], [0.000, 0.000, 0.000], [0.500, 0.500, 0.500], [0.126, 0.126, 0.126], [0.376, 0.376, 0.376], [0.624, 0.624, 0.624], [0.874, 0.874, 0.874]]
}

---

Entry 9:
{
  "formula": "DyTmScTl",
  "functional": "PBE-GGA",
  "state": "optimized geometry",
  "relative_energy_ev_per_atom": 0.000,
  "ef_ev_per_atom": -0.17,
  "dos_ef_per_ev_atom": 1.128,
  "total_magnetization_mub_per_cell": 1.16,
  "space_group": "Pmmm, No. 47",
  "lattice": [[4.702, 0.000, 0.000], [0.000, 4.725, 0.000], [0.000, 0.000, 4.752]],
  "species": ["Dy", "Tm", "Sc", "Tl"],
  "fractional_positions": [[0.000, 0.000, 0.000], [0.000, 0.500, 0.500], [0.500, 0.500, 0.000], [0.500, 0.000, 0.500]]
}

---

Entry 10:
{
  "formula": "Dy2YScTl2",
  "functional": "PBE-GGA",
  "state": "optimized geometry",
  "ef_ev_per_atom": -0.27,
  "dos_ef_per_ev_atom": 1.159,
  "total_magnetization_mub_per_cell": 0.00,
  "space_group": "Pmc2_1, No. 26",
  "lattice": [[4.937, 0.000, 0.000], [0.000, 9.761, 0.000], [0.000, 0.000, 6.915]],
  "species": ["Dy", "Dy", "Dy", "Dy", "Y", "Y", "Sc", "Sc", "Tl", "Tl", "Tl", "Tl"],
  "fractional_positions": [[0.000, 0.050, 0.000], [0.000, 0.950, 0.500], [0.500, 0.190, 0.290], [0.500, 0.810, 0.790], [0.500, 0.450, 0.897], [0.500, 0.550, 0.397], [0.000, 0.304, 0.608], [0.000, 0.696, 0.108], [0.000, 0.382, 0.171], [0.000, 0.618, 0.671], [0.500, 0.136, 0.739], [0.500, 0.864, 0.239]]
}

---

Entry 11:
{
  "formula": "DyY2ScTl4",
  "functional": "PBE-GGA",
  "state": "optimized geometry",
  "ef_ev_per_atom": -0.33,
  "dos_ef_per_ev_atom": 0.844,
  "total_magnetization_mub_per_cell": 0.00,
  "space_group": "R-3m, No. 166",
  "lattice": [[2.652, 1.531, 8.694], [-2.652, 1.531, 8.694], [0.000, -3.062, 8.694]],
  "species": ["Dy", "Y", "Y", "Sc", "Tl", "Tl", "Tl", "Tl"],
  "fractional_positions": [[0.000, 0.000, 0.000], [0.249, 0.249, 0.249], [0.751, 0.751, 0.751], [0.500, 0.500, 0.500], [0.126, 0.126, 0.126], [0.377, 0.377, 0.377], [0.623, 0.623, 0.623], [0.874, 0.874, 0.874]]
}

---

Entry 12:
{
  "formula": "DyScTlZn",
  "functional": "PBE-GGA",
  "state": "optimized geometry",
  "relative_energy_ev_per_atom": 0.000,
  "ef_ev_per_atom": -0.34,
  "dos_ef_per_ev_atom": 0.744,
  "total_magnetization_mub_per_cell": 0.00,
  "space_group": "P4mm, No. 99",
  "lattice": [[3.567, 0.000, 0.000], [0.000, 3.567, 0.000], [0.000, 0.000, 7.200]],
  "species": ["Dy", "Sc", "Tl", "Zn"],
  "fractional_positions": [[0.000, 0.000, 0.000], [0.000, 0.000, 0.544], [0.500, 0.500, 0.290], [0.500, 0.500, 0.750]]
}